Compound: NdDy3Mn
Source: Alexandria
Functional: PBE-GGA
Structure: optimized geometry

The value obtained for the density of states at the Fermi level is 1.821 states/eV per atom. The value obtained for the total magnetization is 0.48 μB/f.u. The total energy comes out at -5.32 eV/atom. The formation energy is 0.23 eV/atom.

The space group is Pm-3m (No. 221) and the conventional cell measures 5.3324, 5.3324 and 5.3324 Å, with angles of 90.00, 90.00 and 90.00 degrees. Symmetry generates all atoms from Nd at (0.0000, 0.0000, 0.0000), Dy at (0.0000, 0.5000, 0.5000) and Mn at (0.5000, 0.5000, 0.5000).